# 1
Crystalline Mn2ZnPb at its relaxed geometry. Source: Alexandria, functional PBE.

Output
Offset from the most stable computed form ... 23 kJ/mol of formula units
Formation energy ... 156.4 kJ/mol of formula units
Symmetry ... Cmmm

```
4
Lattice="2.8806 -3.9231 0.0000 2.8806 3.9231 0.0000 0.0000 0.0000 3.1010" Properties=species:S:1:pos:R:3 pbc="T T T"
Mn 1.4403 1.9615 0.0000
Mn 1.4403 -1.9615 0.0000
Zn 0.0000 0.0000 1.5505
Pb 2.8806 0.0000 1.5505
```

---

# 2
Crystalline MnZnPb2 at its relaxed geometry. Source: Alexandria, functional PBE.

Output
Formation energy ... 114.8 kJ/mol of formula units
Symmetry ... Cm

```
4
Lattice="5.5296 -1.6324 0.0000 5.5296 1.6324 0.0000 -1.7602 0.0000 5.0430" Properties=species:S:1:pos:R:3 pbc="T T T"
Mn 0.0000 0.0000 0.0000
Zn 2.2020 0.0000 3.5943
Pb 5.1245 0.0000 2.6427
Pb 8.0610 0.0000 0.8109
```